[1]
The following is a DFT calculation (PBE) of a relaxed SrCe2 crystal.

The structure in POSCAR format:
```
SrCe2
1.0
-2.481 5.791 2.466
-6.657 0.672 1.007
-2.465 0.215 6.297
Ce Sr
4 2
Direct
0.625 0.625 0.625
0.625 0.625 0.125
0.125 0.625 0.625
0.625 0.125 0.625
0.250 0.250 0.250
0.000 0.000 0.000
```

Computed properties:
Total magnetic moment   3.05 μB per formula unit
Energy of formation   357 meV/atom
Calculated volume   219 Å³/cell
E   -24.95 eV/cell



[2]
The following is a DFT calculation (PBE) of a relaxed SrAuIN2 crystal.

The structure in POSCAR format:
```
SrAuIN2
1.0
-2.383 3.795 -1.835
-3.458 -0.555 3.344
3.405 4.175 4.214
N Sr Au I
2 1 1 1
Direct
0.000 0.500 0.000
0.500 0.000 0.000
0.000 0.000 0.000
0.500 0.500 0.500
0.000 0.000 0.500
```

Computed properties:
Total magnetic moment   4.38 μB per formula unit
Calculated volume   160 Å³/cell
E   -16.49 eV/cell
ΔE to the lowest computed polymorph   0.356 eV per atom



[3]
The following is a DFT calculation (PBE) of a relaxed La2Pr5YTm crystal.

The structure in POSCAR format:
```
La2Pr5YTm
1.0
-1.655 -5.233 1.064
8.288 1.924 7.661
-7.095 3.619 6.767
Pr Y La Tm
10 2 4 2
Direct
0.278 0.555 0.318
0.500 0.000 0.758
0.003 0.005 0.008
0.376 0.753 0.008
0.500 0.000 0.258
0.278 0.556 0.699
0.722 0.444 0.199
0.722 0.445 0.818
0.997 0.995 0.508
0.624 0.247 0.508
0.603 0.206 0.008
0.397 0.794 0.508
0.116 0.232 0.746
0.884 0.768 0.246
0.884 0.768 0.770
0.116 0.232 0.270
0.788 0.576 0.508
0.212 0.424 0.008
```

Computed properties:
Total magnetic moment   0.00 μB per formula unit
Energy of formation   109 meV/atom
Calculated volume   649 Å³/cell
E   -87.42 eV/cell



[4]
The following is a DFT calculation (PBE) of a relaxed CaAl2IrO8 crystal.

The structure in POSCAR format:
```
CaAl2IrO8
1.0
4.730 0.021 -0.003
0.056 4.308 -0.004
0.004 0.007 6.297
Ca O Al Ir
1 8 2 1
Direct
0.000 0.000 0.500
0.440 0.268 0.500
0.663 0.736 0.000
0.835 0.263 0.212
0.835 0.263 0.788
0.337 0.264 0.000
0.165 0.737 0.788
0.560 0.732 0.500
0.165 0.737 0.212
0.500 0.500 0.763
0.500 0.500 0.237
0.000 0.000 0.000
```

Computed properties:
Total magnetic moment   0.00 μB per formula unit
Calculated volume   128 Å³/cell
E   -79.25 eV/cell



[5]
The following is a DFT calculation (PBE) of a relaxed InHg2Te2 crystal.

The structure in POSCAR format:
```
InHg2Te2
1.0
-8.220 1.950 0.639
-0.466 -4.343 7.259
0.972 3.408 2.101
Te Hg In
4 4 2
Direct
0.662 0.162 0.000
0.838 0.662 0.000
0.162 0.338 0.000
0.338 0.838 0.000
0.645 0.855 0.500
0.145 0.645 0.500
0.855 0.355 0.500
0.355 0.145 0.500
0.500 0.500 0.000
0.000 0.000 0.000
```

Computed properties:
Total magnetic moment   0.00 μB per formula unit
Calculated volume   296 Å³/cell
E   -18.84 eV/cell
ΔE to the lowest computed polymorph   0.071 eV per atom



[6]
The following is a DFT calculation (PBE) of a relaxed MgIr2W2 crystal.

The structure in POSCAR format:
```
MgIr2W2
1.0
-4.403 6.339 1.145
-5.874 -3.382 -3.864
-0.942 -1.085 2.382
Mg W Ir
2 4 4
Direct
0.500 0.500 0.000
0.000 0.000 0.000
0.380 0.880 0.000
0.120 0.380 0.000
0.620 0.120 0.000
0.880 0.620 0.000
0.171 0.671 0.500
0.329 0.171 0.500
0.829 0.329 0.500
0.671 0.829 0.500
```

Computed properties:
Total magnetic moment   0.00 μB per formula unit
Energy of formation   -47 meV/atom
Calculated volume   169 Å³/cell
E   -90.91 eV/cell



[7]
The following is a DFT calculation (PBE) of a relaxed SnH2Se crystal.

The structure in POSCAR format:
```
SnH2Se
1.0
3.927 0.000 0.000
-1.963 9.470 0.000
0.000 0.000 6.151
H Se Sn
4 2 2
Direct
0.493 0.986 0.811
0.507 0.014 0.189
0.507 0.014 0.311
0.493 0.986 0.689
0.205 0.410 0.250
0.795 0.590 0.750
0.805 0.610 0.250
0.195 0.390 0.750
```

Computed properties:
Total magnetic moment   0.00 μB per formula unit
Calculated volume   229 Å³/cell
E   -29.97 eV/cell
ΔE to the lowest computed polymorph   0.000 eV per atom



[8]
The following is a DFT calculation (PBE) of a relaxed Ti5Re4Pd crystal.

The structure in POSCAR format:
```
Ti5Re4Pd
1.0
-0.180 0.467 3.094
-3.120 0.211 -0.214
-1.196 -15.374 2.253
Ti Re Pd
5 4 1
Direct
0.500 0.500 0.301
0.500 0.500 0.699
0.500 0.500 0.893
0.500 0.500 0.107
0.500 0.500 0.500
0.000 0.000 0.801
0.000 0.000 0.199
0.000 0.000 0.401
0.000 0.000 0.599
0.000 0.000 0.000
```

Computed properties:
Total magnetic moment   0.00 μB per formula unit
Energy of formation   -472 meV/atom
Calculated volume   153 Å³/cell
E   -99.18 eV/cell



[9]
The following is a DFT calculation (PBE) of a relaxed Pm7DyTm4 crystal.

The structure in POSCAR format:
```
Pm7DyTm4
1.0
3.589 0.000 0.000
-1.795 3.108 0.000
0.000 0.000 34.995
Pm Tm Dy
7 4 1
Direct
0.667 0.333 0.835
0.667 0.333 0.583
0.000 0.000 0.000
0.333 0.667 0.417
0.000 0.000 0.749
0.333 0.667 0.165
0.000 0.000 0.251
0.333 0.667 0.666
0.667 0.333 0.083
0.333 0.667 0.917
0.667 0.333 0.334
0.000 0.000 0.500
```

Computed properties:
Total magnetic moment   0.00 μB per formula unit
Energy of formation   17 meV/atom
Calculated volume   390 Å³/cell
E   -55.54 eV/cell
ΔE to the lowest computed polymorph   0.015 eV per atom



[10]
The following is a DFT calculation (PBE) of a relaxed CaNiBr crystal.

The structure in POSCAR format:
```
CaNiBr
1.0
3.719 0.000 0.000
-1.859 3.220 0.000
0.000 0.000 6.071
Br Ni Ca
1 1 1
Direct
0.000 0.000 0.002
0.333 0.667 0.661
0.667 0.333 0.336
```

Computed properties:
Total magnetic moment   0.34 μB per formula unit
Calculated volume   73 Å³/cell
E   -10.19 eV/cell



[11]
The following is a DFT calculation (PBE) of a relaxed RbV3Tc crystal.

The structure in POSCAR format:
```
RbV3Tc
1.0
4.424 0.000 0.000
0.000 4.424 0.000
0.000 0.000 4.424
V Rb Tc
3 1 1
Direct
0.000 0.500 0.000
0.000 0.000 0.500
0.500 0.000 0.000
0.000 0.000 0.000
0.500 0.500 0.500
```

Computed properties:
Total magnetic moment   0.01 μB per formula unit
Energy of formation   2774 meV/atom
Calculated volume   87 Å³/cell
E   -24.82 eV/cell
ΔE to the lowest computed polymorph   1.528 eV per atom



[12]
The following is a DFT calculation (PBE) of a relaxed SmY2Hg crystal.

The structure in POSCAR format:
```
SmY2Hg
1.0
-0.675 1.842 -3.112
-0.305 -1.817 -3.185
-10.662 -1.071 -0.495
Y Hg Sm
2 1 1
Direct
0.259 0.259 0.224
0.075 0.075 0.776
0.666 0.666 0.001
0.500 0.500 0.499
```

Computed properties:
Total magnetic moment   0.00 μB per formula unit
Energy of formation   -167 meV/atom
Calculated volume   123 Å³/cell
E   -18.62 eV/cell
ΔE to the lowest computed polymorph   0.078 eV per atom